Entry a
Pr5Sn3: optimized geometry, PBE.

Values from the calculation:
- Total moment: 0.16 μB per atom

Cell lengths 8.431, 8.431, 9.359 Å; angles 116.77, 116.77, 90.00 degrees
Site moments in Bohr magnetons follow the coordinates.
Element x y z (fractional)
Pr 0.000 0.000 0.000  0.14
Pr 0.500 0.500 0.000  0.14
Pr 0.518 0.018 0.701  0.11
Pr 0.184 0.684 0.701  0.11
Pr 0.684 0.518 0.701  0.11
Pr 0.018 0.184 0.701  0.11
Pr 0.482 0.982 0.299  0.11
Pr 0.816 0.316 0.299  0.11
Pr 0.316 0.482 0.299  0.11
Pr 0.982 0.816 0.299  0.11
Sn 0.750 0.750 0.500  -0.01
Sn 0.250 0.250 0.500  -0.01
Sn 0.132 0.632 0.000  -0.01
Sn 0.868 0.368 0.000  -0.01
Sn 0.368 0.132 0.000  -0.01
Sn 0.632 0.868 0.000  -0.01

Entry b
Pr5Sn3: optimized geometry, PBE.

Values from the calculation:
- Total moment: 0.22 μB per atom

Cell lengths 9.493, 9.493, 9.493 Å; angles 96.28, 96.28, 141.36 degrees
Site moments in Bohr magnetons follow the coordinates.
Element x y z (fractional)
Pr 0.583 0.283 0.866  0.16
Pr 0.417 0.717 0.134  0.16
Pr 0.283 0.417 0.699  0.16
Pr 0.917 0.783 0.699  0.16
Pr 0.783 0.083 0.866  0.16
Pr 0.250 0.750 0.500  0.20
Pr 0.750 0.250 0.500  0.20
Pr 0.083 0.217 0.301  0.16
Pr 0.717 0.583 0.301  0.16
Pr 0.217 0.917 0.134  0.16
Sn 0.339 0.161 0.500  -0.02
Sn 0.161 0.661 0.822  -0.02
Sn 0.750 0.750 0.000  -0.01
Sn 0.839 0.339 0.178  -0.02
Sn 0.661 0.839 0.500  -0.02
Sn 0.250 0.250 0.000  -0.01

The relative energies come out as entry a 23; entry b 0, with values in meV per atom.

Entry a
Pr4Sn3: optimized geometry, PBE.

Values from the calculation:
- Total moment: 0.00 μB per atom

Cell lengths 8.388, 8.388, 8.388 Å; angles 109.47, 109.47, 109.47 degrees
Element x y z (fractional)
Pr 0.361 0.500 0.000
Pr 0.500 0.361 0.500
Pr 0.000 0.000 0.361
Pr 0.639 0.139 0.139
Pr 0.000 0.000 0.861
Pr 0.139 0.639 0.639
Pr 0.861 0.500 0.000
Pr 0.500 0.861 0.500
Sn 0.125 0.375 0.250
Sn 0.625 0.750 0.875
Sn 0.875 0.250 0.625
Sn 0.250 0.875 0.125
Sn 0.750 0.625 0.375
Sn 0.375 0.125 0.750

Entry b
Pr4Sn3: optimized geometry, PBE.

Values from the calculation:
- Total moment: 0.00 μB per atom

Cell lengths 5.058, 5.058, 11.400 Å; angles 77.18, 77.18, 60.00 degrees
Element x y z (fractional)
Pr 0.701 0.701 0.896
Pr 0.879 0.879 0.363
Pr 0.299 0.299 0.104
Pr 0.121 0.121 0.637
Sn 0.500 0.500 0.500
Sn 0.596 0.596 0.213
Sn 0.404 0.404 0.787

The relative energies come out as entry a 0; entry b 199, with values in meV per atom.

Entry a
SrPr2Sn: optimized geometry, PBE.

Values from the calculation:
- Total moment: 0.00 μB per atom

Cell lengths 5.039, 5.121, 5.121 Å; angles 90.00, 90.00, 90.00 degrees
Element x y z (fractional)
Pr 0.000 0.000 0.500
Pr 0.000 0.500 0.000
Sr 0.500 0.500 0.500
Sn 0.500 0.000 0.000

Entry b
SrPr2Sn: optimized geometry, PBE.

Values from the calculation:
- Total moment: 0.16 μB per atom

Cell lengths 4.802, 4.802, 8.871 Å; angles 74.30, 74.30, 60.00 degrees
Site moments in Bohr magnetons follow the coordinates.
Element x y z (fractional)
Sr 0.501 0.501 0.498  0.05
Pr 0.059 0.059 0.823  0.03
Pr 0.274 0.274 0.177  0.08
Sn 0.666 0.666 0.002  0.00

The relative energies come out as entry a 0; entry b 185, with values in meV per atom.

Entry a
SrPr2Sn2: optimized geometry, PBE.

Values from the calculation:
- Total moment: 0.00 μB per atom

Cell lengths 4.230, 6.395, 7.149 Å; angles 102.37, 107.21, 90.00 degrees
Element x y z (fractional)
Sr 0.000 0.000 0.000
Pr 0.356 0.434 0.713
Pr 0.644 0.566 0.287
Sn 0.705 0.110 0.410
Sn 0.295 0.890 0.590

Entry b
SrPr2Sn2: optimized geometry, PBE.

Values from the calculation:
- Total moment: 0.00 μB per atom

Cell lengths 4.608, 8.482, 8.482 Å; angles 90.00, 90.00, 90.00 degrees
Element x y z (fractional)
Sr 0.000 0.000 0.000
Sr 0.000 0.500 0.500
Pr 0.500 0.175 0.675
Pr 0.500 0.675 0.825
Pr 0.500 0.825 0.325
Pr 0.500 0.325 0.175
Sn 0.000 0.378 0.878
Sn 0.000 0.878 0.622
Sn 0.000 0.622 0.122
Sn 0.000 0.122 0.378

The relative energies come out as entry a 232; entry b 0, with values in meV per atom.